Density functional theory data (PBE) for Cu2Te after structural relaxation.

abc: 8.4752 8.4752 45.6487
angles: 90.00 90.00 120.00
Space group P-3m1 (No. 164)
Symmetry-distinct sites (fractional):
Cu (0.0000, 0.0000, 0.0476) [2 per cell]
Cu (0.0000, 0.0000, 0.1005) [2 per cell]
Cu (0.0000, 0.0000, 0.2239) [2 per cell]
Cu (0.0000, 0.0000, 0.2780) [2 per cell]
Cu (0.0038, 0.5019, 0.7307) [6 per cell]
Cu (0.0251, 0.5125, 0.8906) [6 per cell]
Cu (0.0268, 0.5134, 0.2130) [6 per cell]
Cu (0.0273, 0.5136, 0.0545) [6 per cell]
Cu (0.1646, 0.3292, 0.2521) [6 per cell]
Cu (0.1679, 0.3358, 0.9282) [6 per cell]
Cu (0.1758, 0.3517, 0.7685) [6 per cell]
Cu (0.1787, 0.3575, 0.0898) [6 per cell]
Cu (0.3333, 0.6667, 0.0122) [2 per cell]
Cu (0.3333, 0.6667, 0.1809) [2 per cell]
Cu (0.3333, 0.6667, 0.7422) [2 per cell]
Cu (0.3333, 0.6667, 0.8625) [2 per cell]
Te (0.1565, 0.3130, 0.1940) [6 per cell]
Te (0.1563, 0.3127, 0.8704) [6 per cell]
Te (0.1653, 0.3305, 0.0315) [6 per cell]
Te (0.1692, 0.3383, 0.7090) [6 per cell]
Te (0.3333, 0.6667, 0.1220) [2 per cell]
Te (0.3333, 0.6667, 0.2818) [2 per cell]
Te (0.3333, 0.6667, 0.8017) [2 per cell]
Te (0.3333, 0.6667, 0.9555) [2 per cell]

* electronic total energy: -3.542 eV/atom